(1)
VASP calculation (GGA-PBEsol) on crystalline ZnAgW2 at its relaxed geometry.

Calculated values
E_form: 514.6 meV per atom

Cell: 3.289 4.486 5.021 Å, 116.53 109.12 90.00°
Fractional coordinates of all 4 atoms:
W  0.011  0.011  0.022
W  0.745  0.245  0.489
Zn  0.504  0.504  0.008
Ag  0.240  0.740  0.481

(2)
VASP calculation (GGA-PBEsol) on crystalline ZrZn2Ag at its relaxed geometry.

Calculated values
E_form: -150.9 meV per atom

Cell: 2.835 4.219 5.689 Å, 90.00 104.43 90.00°
Fractional coordinates of all 4 atoms:
Zn  0.815  0.000  0.630
Zn  0.692  0.500  0.384
Zr  0.076  0.000  0.152
Ag  0.421  0.500  0.842

(3)
VASP calculation (GGA-PBEsol) on crystalline TlSbAu at its relaxed geometry.

Calculated values
energy above the lowest structure with this stoichiometry: 0.0 kJ per mole of atoms

Cell: 6.549 6.565 14.341 Å, 90.00 90.00 90.00°
Fractional coordinates of all 24 atoms:
Tl  0.592  0.919  0.203
Tl  0.864  0.374  0.535
Tl  0.592  0.419  0.297
Tl  0.092  0.081  0.797
Tl  0.364  0.126  0.035
Tl  0.864  0.874  0.965
Tl  0.364  0.626  0.465
Tl  0.092  0.581  0.703
Au  0.500  0.963  0.859
Au  0.977  0.964  0.610
Au  0.000  0.537  0.359
Au  0.477  0.036  0.390
Au  0.000  0.037  0.141
Au  0.500  0.463  0.641
Au  0.477  0.536  0.110
Au  0.977  0.464  0.890
Sb  0.612  0.348  0.818
Sb  0.356  0.607  0.929
Sb  0.612  0.848  0.682
Sb  0.112  0.152  0.318
Sb  0.856  0.393  0.071
Sb  0.112  0.652  0.182
Sb  0.356  0.107  0.571
Sb  0.856  0.893  0.429

These records have N(E_F) values of 0.4879; 0.5395; 0.2513 states/eV/atom, in the order they appear.